No. 1
Entry from the Alexandria database: Cs2BaMgH6 after structural relaxation (GGA-PBE).

a b c (Å): 6.5454 6.5457 9.2664
angles (deg): 90.00 90.00 90.00
With the nearest neighbours (Å) after each atom.
Atoms (fractional coordinates):
1 Cs 0.5000 0.7499 0.2500  12 H 3.28-3.29
2 Cs 0.0000 0.2501 0.7500  12 H 3.28-3.29
3 Cs 0.5000 0.7499 0.7500  12 H 3.28-3.29
4 Cs 0.0000 0.2501 0.2500  12 H 3.28-3.29
5 Ba 0.0000 0.7498 0.5000  6 H 2.60
6 Ba 0.5000 0.2502 0.0000  6 H 2.60
7 Mg 0.5000 0.2495 0.5000  6 H 2.03
8 Mg 0.0000 0.7505 0.0000  6 H 2.03
9 H 0.5000 0.2493 0.2810  1 Mg 2.03
10 H 0.5000 0.2493 0.7190  1 Mg 2.03
11 H 0.0000 0.7507 0.2190  1 Mg 2.03
12 H 0.0000 0.7507 0.7810  1 Mg 2.03
13 H 0.2811 0.0305 0.5000  1 Mg 2.03
14 H 0.7189 0.0305 0.5000  1 Mg 2.03
15 H 0.2809 0.4685 0.5000  1 Mg 2.03
16 H 0.7191 0.4685 0.5000  1 Mg 2.03
17 H 0.7809 0.5315 0.0000  1 Mg 2.03
18 H 0.2191 0.5315 0.0000  1 Mg 2.03
19 H 0.2189 0.9695 0.0000  1 Mg 2.03
20 H 0.7811 0.9695 0.0000  1 Mg 2.03

Electronic total energy: -2.801 eV/atom
Crystal system: orthorhombic
Space-group type: No. 59

No. 2
Entry from the Alexandria database: CsBaNa2H after structural relaxation (GGA-PBE).

a b c (Å): 7.8263 4.8691 7.8263
angles (deg): 90.00 90.00 90.00
With the nearest neighbours (Å) after each atom.
Atoms (fractional coordinates):
1 Cs 0.5000 0.5000 0.5000  8 Na 4.61, 2 Cs 4.87
2 Na 0.0000 0.0000 0.5000  2 Ba 3.91
3 Na 0.5000 0.0000 0.0000  2 Ba 3.91
4 Ba 0.0000 0.0000 0.0000  2 H 2.43
5 H 0.0000 0.5000 0.0000  2 Ba 2.43

Electronic total energy: -1.642 eV/atom
Crystal system: tetragonal
Space-group type: No. 123

No. 3
Entry from the Alexandria database: CsBa2NaH after structural relaxation (GGA-PBE).

a b c (Å): 5.8601 5.8601 6.9057
angles (deg): 90.00 90.00 90.00
With the nearest neighbours (Å) after each atom.
Atoms (fractional coordinates):
1 Cs 0.0000 0.0000 0.5000  2 H 3.45
2 Na 0.5000 0.5000 0.5000  4 Cs 4.14, 8 Ba 4.53
3 Ba 0.0000 0.5000 0.0000  2 H 2.93
4 Ba 0.5000 0.0000 0.0000  2 H 2.93
5 H 0.0000 0.0000 0.0000  4 Ba 2.93

Electronic total energy: -1.888 eV/atom
Crystal system: tetragonal
Space-group type: No. 123
Relative energy among the computed polymorphs: 0.000 eV per atom

no.,DOS at the Fermi energy (states/eV per atom)
1,0.00
2,0.49
3,1.01